This record from Alexandria via LeMat-Bulk describes a relaxed structure of CePuHg2. The functional is GGA-PBE.

It has space group P4/mmm (No. 123), with a = 4.6658 Å, b = 4.6658 Å, c = 4.7201 Å, α = 90.00°, β = 90.00° and γ = 90.00°. The asymmetric unit holds Ce at (0.0000, 0.0000, 0.0000), Pu at (0.5000, 0.5000, 0.0000) and Hg at (0.0000, 0.5000, 0.5000).

For the formation energy from the elements, the calculation gives -0.221 eV per atom. The total energy comes out at -21.754 eV for the cell shown. For the energy above the most stable polymorph in this dataset, the calculation gives 10.2 meV per atom. As for the mass density: 12.69 g/cm³. The value obtained for the total moment is 6.98 μB per cell.